# CaLa3Sm6Dy2

CaLa3Sm6Dy2 after structural relaxation (GGA-PBE, Alexandria).

## Properties
Crystal system: monoclinic
Energy of formation (eV/atom): 0.048
E_tot (eV per cell): -53.728
Total moment (μB/cell): 0.00
Mass density (g cm⁻³): 6.7

abc: 6.3592 6.3592 12.0901
angles: 95.02 95.02 120.05
Last column: nearest neighbours and their distance in Å.
Element x y z (fractional)
Sm1 0.0829 0.4234 0.2473  2 Dy 3.61, 6 Sm 3.63-3.75, 1 Ca 3.65, 3 La 3.66-3.69
Sm2 0.7428 0.7428 0.2475  2 Dy 3.62, 6 Sm 3.63-3.75, 1 Ca 3.65, 3 La 3.65-3.69
Sm3 0.5766 0.9171 0.7527  2 Dy 3.61, 6 Sm 3.63-3.75, 1 Ca 3.65, 3 La 3.66-3.69
Sm4 0.2572 0.2572 0.7525  2 Dy 3.62, 6 Sm 3.63-3.75, 1 Ca 3.65, 3 La 3.65-3.69
Sm5 0.4234 0.0829 0.2473  2 Dy 3.61, 6 Sm 3.63-3.75, 1 Ca 3.65, 3 La 3.66-3.69
Sm6 0.9171 0.5766 0.7527  2 Dy 3.61, 6 Sm 3.63-3.75, 1 Ca 3.65, 3 La 3.66-3.69
Dy1 0.3333 0.6667 0.0000  6 Sm 3.61-3.62, 3 Dy 3.67, 3 Ca 3.67
Dy2 0.6667 0.3333 0.0000  6 Sm 3.61-3.62, 3 Dy 3.67, 3 Ca 3.67
La1 0.1662 0.8338 0.5000  6 Sm 3.66-3.69, 6 La 3.66-3.68
La2 0.5000 0.5000 0.5000  6 Sm 3.65-3.69, 6 La 3.67-3.68
La3 0.8338 0.1662 0.5000  6 Sm 3.66-3.69, 6 La 3.66-3.68
Ca1 0.0000 0.0000 0.0000  6 Sm 3.65, 6 Dy 3.67

---

# SrCaLaDy

SrCaLaDy after structural relaxation (GGA-PBE, Alexandria).

## Properties
Crystal system: cubic
Energy of formation (eV/atom): 0.174
E_tot (eV per cell): -12.518
Total moment (μB/cell): 0.00
Mass density (g cm⁻³): 4.5

abc: 6.0817 6.0817 6.0817
angles: 60.00 60.00 60.00
Last column: nearest neighbours and their distance in Å.
Element x y z (fractional)
Ca1 0.5000 0.5000 0.5000  4 Sr 3.72, 4 La 3.72
La1 0.7500 0.7500 0.7500  4 Dy 3.72, 4 Ca 3.72
Dy1 0.0000 0.0000 0.0000  4 La 3.72, 4 Sr 3.72
Sr1 0.2500 0.2500 0.2500  4 Ca 3.72, 4 Dy 3.72

---

> Which value of E_tot does entry 2 give?

-12.518 eV per cell

---

> Which formula does entry 1 have?

CaLa3Sm6Dy2